VASP calculation (PBE) on a relaxed PuZrRh2 crystal.

Unit cell a=3.2959 b=3.2959 c=7.0681 alpha=90.00 beta=90.00 gamma=90.00
Site moments in Bohr magnetons follow the coordinates.
Fractional positions:
Zr 0.5000 0.5000 0.0000  0.06
Rh 0.0000 0.0000 0.2206  -0.12
Rh 0.0000 0.0000 0.7794  -0.12
Pu 0.5000 0.5000 0.5000  5.23

Values from the calculation:
* M_tot: 1.3296 μB/atom
* E: -9.993 eV per atom
* SG: No. 123
* theoretical density: 11.70 g/cm3